Entry P
Below is RbNb2Rh after structural relaxation, with properties calculated at the PBE level.

Computed properties:
Magnetization in Bohr magnetons per cell: 0.0
Volume in Å³/atom: 19.0
Crystal system: cubic

Lattice parameters (Å, degrees): 6.723 6.723 6.723 90.00 90.00 90.00
Space group Fm-3m (No. 225)
Inequivalent atoms, fractional coordinates:
Rb1 0.000 0.000 0.000 [4 per cell]
Nb1 0.250 0.250 0.250 [8 per cell]
Rh1 0.000 0.000 0.500 [4 per cell]

***

Entry Q
Below is RbNb2Rh after structural relaxation, with properties calculated at the PBE level.

Computed properties:
Magnetization in Bohr magnetons per cell: 0.0
Volume in Å³/atom: 30.3
Crystal system: tetragonal

Lattice parameters (Å, degrees): 5.208 5.208 17.852 90.00 90.00 90.00
Space group I-42d (No. 122)
Inequivalent atoms, fractional coordinates:
Rb1 0.000 0.000 0.000 [4 per cell]
Nb1 0.012 0.750 0.625 [8 per cell]
Rh1 0.000 0.000 0.500 [4 per cell]

***

Least stable structure: entry Q

***

Entry P
Below is Rb2NbRh after structural relaxation, with properties calculated at the PBE level.

Computed properties:
Magnetization in Bohr magnetons per cell: 16.0
Volume in Å³/atom: 32.5
Crystal system: cubic

Lattice parameters (Å, degrees): 8.041 8.041 8.041 90.00 90.00 90.00
Space group Fm-3m (No. 225)
Inequivalent atoms, fractional coordinates:
Rb1 0.250 0.250 0.250 [8 per cell]
Nb1 0.000 0.000 0.000 [4 per cell]
Rh1 0.000 0.000 0.500 [4 per cell]

***

Entry Q
Below is Rb2NbRh after structural relaxation, with properties calculated at the PBE level.

Computed properties:
Magnetization in Bohr magnetons per cell: 13.6
Volume in Å³/atom: 51.0
Crystal system: tetragonal

Lattice parameters (Å, degrees): 12.944 12.944 4.867 90.00 90.00 90.00
Space group I-42d (No. 122)
Inequivalent atoms, fractional coordinates:
Rb1 0.077 0.250 0.125 [8 per cell]
Nb1 0.000 0.000 0.500 [4 per cell]
Rh1 0.000 0.000 0.000 [4 per cell]

***

Least stable structure: entry P